[1]
DFT (PBE) results for a relaxed structure of Rb2CuH5.

space-group type: I4mm, No. 107
total DFT energy (no corrections): -23.173 eV/f.u.

Unit cell a=5.944 b=5.944 c=6.013 alpha=60.38 beta=60.38 gamma=90.00
Element x y z (fractional)
Rb1 0.250 0.750 0.500
Rb2 0.750 0.250 0.500
Cu1 0.027 0.027 0.946
H1 0.814 0.814 0.016
H2 0.814 0.170 0.016
H3 0.170 0.814 0.016
H4 0.170 0.170 0.016
H5 0.228 0.228 0.545

[2]
DFT (PBE) results for a relaxed structure of RbCuH.

space-group type: P3_2, No. 145
total DFT energy (no corrections): -7.894 eV/f.u.

Unit cell a=6.666 b=6.666 c=7.113 alpha=90.00 beta=90.00 gamma=120.00
Element x y z (fractional)
H1 0.809 0.530 0.497
H2 0.721 0.191 0.830
H3 0.470 0.279 0.164
Cu1 0.683 0.325 0.655
Cu2 0.642 0.317 0.989
Cu3 0.675 0.358 0.322
Rb1 0.665 0.845 0.181
Rb2 0.155 0.819 0.848
Rb3 0.181 0.335 0.514

[3]
DFT (PBE) results for a relaxed structure of Rb3Cu5H12.

space-group type: Ia-3d, No. 230
total DFT energy (no corrections): -58.972 eV/f.u.

Unit cell a=10.719 b=10.719 c=10.719 alpha=109.47 beta=109.47 gamma=109.47
Element x y z (fractional)
Rb1 0.750 0.375 0.125
Rb2 0.875 0.750 0.125
Rb3 0.375 0.750 0.625
Rb4 0.250 0.125 0.375
Rb5 0.875 0.125 0.250
Rb6 0.375 0.625 0.250
Rb7 0.625 0.375 0.750
Rb8 0.125 0.875 0.750
Rb9 0.750 0.875 0.625
Rb10 0.625 0.250 0.375
Rb11 0.125 0.250 0.875
Rb12 0.250 0.625 0.875
Cu1 0.125 0.375 0.250
Cu2 0.000 0.500 0.000
Cu3 0.000 0.000 0.000
Cu4 0.375 0.250 0.125
Cu5 0.500 0.000 0.500
Cu6 0.500 0.500 0.000
Cu7 0.125 0.750 0.375
Cu8 0.750 0.125 0.875
Cu9 0.750 0.625 0.375
Cu10 0.375 0.125 0.750
Cu11 0.625 0.875 0.250
Cu12 0.500 0.500 0.500
Cu13 0.500 0.000 0.000
Cu14 0.000 0.000 0.500
Cu15 0.250 0.375 0.625
Cu16 0.250 0.875 0.125
Cu17 0.000 0.500 0.500
Cu18 0.875 0.250 0.625
Cu19 0.625 0.750 0.875
Cu20 0.875 0.625 0.750
H1 0.657 0.080 0.974
H2 0.316 0.474 0.394
H3 0.026 0.420 0.343
H4 0.474 0.157 0.080
H5 0.577 0.657 0.684
H6 0.026 0.606 0.184
H7 0.316 0.843 0.423
H8 0.106 0.923 0.080
H9 0.606 0.026 0.684
H10 0.657 0.577 0.184
H11 0.843 0.526 0.420
H12 0.816 0.894 0.974
H13 0.080 0.657 0.474
H14 0.420 0.394 0.077
H15 0.077 0.894 0.420
H16 0.423 0.080 0.606
H17 0.077 0.184 0.157
H18 0.526 0.684 0.106
H19 0.816 0.923 0.343
H20 0.080 0.423 0.106
H21 0.420 0.026 0.843
H22 0.606 0.580 0.423
H23 0.894 0.816 0.474
H24 0.843 0.316 0.923
H25 0.394 0.420 0.577
H26 0.106 0.184 0.526
H27 0.157 0.684 0.077
H28 0.184 0.077 0.657
H29 0.580 0.974 0.157
H30 0.920 0.577 0.894
H31 0.474 0.316 0.894
H32 0.577 0.920 0.394
H33 0.923 0.816 0.843
H34 0.923 0.106 0.580
H35 0.920 0.343 0.526
H36 0.184 0.106 0.026
H37 0.580 0.606 0.923
H38 0.394 0.974 0.316
H39 0.343 0.423 0.816
H40 0.157 0.474 0.580
H41 0.894 0.077 0.920
H42 0.684 0.157 0.577
H43 0.526 0.843 0.920
H44 0.974 0.394 0.816
H45 0.423 0.343 0.316
H46 0.974 0.580 0.657
H47 0.684 0.526 0.606
H48 0.343 0.920 0.026

[4]
DFT (PBE) results for a relaxed structure of RbCu2H2.

space-group type: I4/mmm, No. 139
total DFT energy (no corrections): -14.718 eV/f.u.

Unit cell a=3.599 b=3.599 c=6.854 alpha=74.78 beta=74.78 gamma=90.00
Element x y z (fractional)
H1 0.750 0.250 0.500
H2 0.250 0.750 0.500
Cu1 0.263 0.263 0.474
Cu2 0.737 0.737 0.526
Rb1 0.000 0.000 0.000

[5]
DFT (PBE) results for a relaxed structure of Rb2CuH3.

space-group type: C2/c, No. 15
total DFT energy (no corrections): -16.781 eV/f.u.

Unit cell a=6.387 b=6.387 c=7.925 alpha=93.37 beta=114.54 gamma=114.31
Element x y z (fractional)
Rb1 0.661 0.018 0.316
Rb2 0.339 0.982 0.684
Rb3 0.798 0.656 0.816
Rb4 0.202 0.344 0.184
Cu1 0.845 0.595 0.250
Cu2 0.155 0.405 0.750
H1 0.765 0.620 0.417
H2 0.235 0.380 0.583
H3 0.703 0.348 0.083
H4 0.917 0.167 0.750
H5 0.297 0.652 0.917
H6 0.083 0.833 0.250

[6]
DFT (PBE) results for a relaxed structure of RbCu3H.

space-group type: Pm-3m, No. 221
relative energy among the computed polymorphs: 0 meV/atom
total DFT energy (no corrections): -12.336 eV/f.u.

Unit cell a=4.360 b=4.360 c=4.360 alpha=90.00 beta=90.00 gamma=90.00
Element x y z (fractional)
H1 0.000 0.000 0.000
Cu1 0.000 0.500 0.000
Cu2 0.000 0.000 0.500
Cu3 0.500 0.000 0.000
Rb1 0.500 0.500 0.500

[7]
DFT (PBE) results for a relaxed structure of Rb3CuH5.

space-group type: I4/mcm, No. 140
total DFT energy (no corrections): -23.928 eV/f.u.

Unit cell a=7.814 b=7.814 c=8.161 alpha=118.60 beta=118.60 gamma=90.00
Each line ends with the local moment (μB).
Element x y z (fractional)
Rb1 0.680 0.180 0.000  0.01
Rb2 0.320 0.820 0.000  0.01
Rb3 0.820 0.680 0.000  0.01
Rb4 0.180 0.320 0.000  0.01
Rb5 0.250 0.250 0.500  0.01
Rb6 0.750 0.750 0.500  0.01
Cu1 0.750 0.250 0.500  0.37
Cu2 0.250 0.750 0.500  0.37
H1 0.950 0.450 0.681  0.05
H2 0.731 0.231 0.681  0.05
H3 0.231 0.950 0.681  0.05
H4 0.450 0.731 0.681  0.05
H5 0.050 0.550 0.319  0.05
H6 0.269 0.769 0.319  0.05
H7 0.769 0.050 0.319  0.05
H8 0.550 0.269 0.319  0.05
H9 0.500 0.500 0.000  0.00
H10 0.000 0.000 0.000  0.00

[8]
DFT (PBE) results for a relaxed structure of Rb2CuH.

space-group type: Fm-3m, No. 225
relative energy among the computed polymorphs: 52 meV/atom
total DFT energy (no corrections): -8.252 eV/f.u.

Unit cell a=5.669 b=5.669 c=5.669 alpha=60.00 beta=60.00 gamma=60.00
Element x y z (fractional)
H1 0.000 0.000 0.000
Cu1 0.500 0.500 0.500
Rb1 0.250 0.250 0.250
Rb2 0.750 0.750 0.750

[9]
DFT (PBE) results for a relaxed structure of RbCuH4.

space-group type: C2/m, No. 12
total DFT energy (no corrections): -17.836 eV/f.u.

Unit cell a=4.977 b=5.557 c=9.734 alpha=106.58 beta=130.66 gamma=90.00
Element x y z (fractional)
Rb1 0.000 0.153 0.307
Rb2 0.000 0.847 0.693
Cu1 0.716 0.416 0.833
Cu2 0.284 0.584 0.167
H1 0.183 0.474 0.948
H2 0.504 0.428 0.303
H3 0.000 0.302 0.000
H4 0.496 0.125 0.697
H5 0.817 0.526 0.052
H6 0.496 0.572 0.697
H7 0.000 0.698 0.000
H8 0.504 0.875 0.303

[10]
DFT (PBE) results for a relaxed structure of RbCu2H.

space-group type: I4_1/amd, No. 141
relative energy among the computed polymorphs: 0 meV/atom
total DFT energy (no corrections): -10.737 eV/f.u.

Unit cell a=5.506 b=5.506 c=6.161 alpha=63.46 beta=63.46 gamma=90.00
Element x y z (fractional)
H1 0.500 0.500 0.000
H2 0.250 0.750 0.500
Cu1 0.375 0.125 0.250
Cu2 0.375 0.625 0.250
Cu3 0.375 0.625 0.750
Cu4 0.875 0.625 0.750
Rb1 0.000 0.000 0.000
Rb2 0.750 0.250 0.500

[11]
DFT (PBE) results for a relaxed structure of Rb2Cu2H5.

space-group type: C2/m, No. 12
total DFT energy (no corrections): -27.299 eV/f.u.

Unit cell a=3.680 b=5.369 c=7.093 alpha=99.83 beta=90.00 gamma=110.04
Element x y z (fractional)
Rb1 0.405 0.810 0.683
Rb2 0.595 0.190 0.317
Cu1 0.162 0.324 0.915
Cu2 0.838 0.676 0.085
H1 0.301 0.601 0.084
H2 0.699 0.399 0.916
H3 0.119 0.238 0.681
H4 0.881 0.762 0.319
H5 0.000 0.000 0.000

[12]
DFT (PBE) results for a relaxed structure of RbCu4H7.

space-group type: Pmmn, No. 59
total DFT energy (no corrections): -40.261 eV/f.u.

Unit cell a=3.546 b=5.210 c=13.216 alpha=90.00 beta=90.00 gamma=90.00
Element x y z (fractional)
Rb1 0.513 0.851 0.500
Rb2 0.013 0.149 0.000
Cu1 0.513 0.640 0.874
Cu2 0.013 0.809 0.250
Cu3 0.513 0.191 0.250
Cu4 0.013 0.360 0.626
Cu5 0.013 0.360 0.374
Cu6 0.513 0.640 0.126
Cu7 0.013 0.809 0.750
Cu8 0.513 0.191 0.750
H1 0.013 0.679 0.132
H2 0.513 0.321 0.368
H3 0.513 0.323 0.863
H4 0.013 0.677 0.637
H5 0.013 0.677 0.363
H6 0.513 0.323 0.137
H7 0.513 0.844 0.768
H8 0.013 0.156 0.732
H9 0.013 0.156 0.268
H10 0.513 0.844 0.232
H11 0.513 0.699 0.000
H12 0.013 0.301 0.500
H13 0.013 0.679 0.868
H14 0.513 0.321 0.632

DOS at the Fermi energy? In order: 0.00, 3.36, 7.66, 1.61, 0.00, 1.38, 7.96, 0.00, 0.00, 0.50, 1.90, 2.26 states/eV/cell.